1.
Na3Y3VO8: optimized geometry, GGA+U.

Structure (CIF):
```
data_Na3Y3VO8
_cell_length_a 11.541
_cell_length_b 6.691
_cell_length_c 6.775
_cell_angle_alpha 90.00
_cell_angle_beta 124.96
_cell_angle_gamma 90.00
_symmetry_space_group_name_H-M 'C 1 2/m 1'
_symmetry_Int_Tables_number 12
loop_
_symmetry_equiv_pos_as_xyz
'x,y,z'
'-x,-y,-z'
'-x,y,-z'
'x,-y,z'
'x+1/2,y+1/2,z'
'-x+1/2,-y+1/2,-z'
'-x+1/2,y+1/2,-z'
'x+1/2,-y+1/2,z'
loop_
_atom_site_label
_atom_site_fract_x
_atom_site_fract_y
_atom_site_fract_z
Na1 0.000 0.000 0.000
Na2 0.250 0.250 0.000
Y1 0.000 0.500 0.500
Y2 0.250 0.250 0.500
V1 0.000 0.000 0.500
O1 0.010 0.224 0.305
O2 0.210 0.000 0.691
O3 0.238 0.500 0.712
```

Crystal system: monoclinic
Density: 4.0 g/cm3
Size of the total moment: 2.00 Bohr magnetons per cell
Total DFT energy (no corrections): -0.5378 Ry per atom

=====

2.
NaV2ZnO6: optimized geometry, GGA+U.

Structure (CIF):
```
data_NaV2ZnO6
_cell_length_a 10.635
_cell_length_b 10.621
_cell_length_c 5.897
_cell_angle_alpha 90.00
_cell_angle_beta 113.45
_cell_angle_gamma 90.00
_symmetry_space_group_name_H-M 'C 1 2/c 1'
_symmetry_Int_Tables_number 15
loop_
_symmetry_equiv_pos_as_xyz
'x,y,z'
'-x,-y,-z'
'-x,y,-z+1/2'
'x,-y,z+1/2'
'x+1/2,y+1/2,z'
'-x+1/2,-y+1/2,-z'
'-x+1/2,y+1/2,-z+1/2'
'x+1/2,-y+1/2,z+1/2'
loop_
_atom_site_label
_atom_site_fract_x
_atom_site_fract_y
_atom_site_fract_z
Na1 0.000 0.110 0.250
V1 0.193 0.414 0.196
Zn1 0.000 0.214 0.750
O1 0.104 0.274 0.082
O2 0.129 0.098 0.681
O3 0.149 0.476 0.443
```

Crystal system: monoclinic
Density: 3.1 g/cm3
Size of the total moment: 4.00 Bohr magnetons per cell
Total DFT energy (no corrections): -0.4794 Ry per atom

=====

3.
NaVZnO4: optimized geometry, GGA+U.

Structure (CIF):
```
data_NaVZnO4
_cell_length_a 5.246
_cell_length_b 5.246
_cell_length_c 8.172
_cell_angle_alpha 90.00
_cell_angle_beta 90.00
_cell_angle_gamma 90.00
_symmetry_space_group_name_H-M 'I -4'
_symmetry_Int_Tables_number 82
loop_
_symmetry_equiv_pos_as_xyz
'x,y,z'
'y,-x,-z'
'-x,-y,z'
'-y,x,-z'
'x+1/2,y+1/2,z+1/2'
'y+1/2,-x+1/2,-z+1/2'
'-x+1/2,-y+1/2,z+1/2'
'-y+1/2,x+1/2,-z+1/2'
loop_
_atom_site_label
_atom_site_fract_x
_atom_site_fract_y
_atom_site_fract_z
Na1 0.000 0.000 0.000
V1 0.000 0.500 0.750
Zn1 0.000 0.000 0.500
O1 0.158 0.277 0.628
```

Crystal system: tetragonal
Density: 3.0 g/cm3
Size of the total moment: 0.00 Bohr magnetons per cell
Total DFT energy (no corrections): -0.4464 Ry per atom

=====

4.
NaZr2VO: optimized geometry, GGA+U.

Structure (CIF):
```
data_NaZr2VO
_cell_length_a 4.833
_cell_length_b 4.833
_cell_length_c 5.207
_cell_angle_alpha 90.00
_cell_angle_beta 90.00
_cell_angle_gamma 90.00
_symmetry_space_group_name_H-M 'P 4/m m m'
_symmetry_Int_Tables_number 123
_symmetry_space_group_name_Hall '-P 4 2'
loop_
_atom_site_label
_atom_site_fract_x
_atom_site_fract_y
_atom_site_fract_z
Na1 0.000 0.000 0.000
Zr1 0.000 0.500 0.500
V1 0.000 0.000 0.500
O1 0.500 0.500 0.000
```

Crystal system: tetragonal
Density: 3.7 g/cm3
Size of the total moment: 1.99 Bohr magnetons per cell
Total DFT energy (no corrections): -0.3432 Ry per atom

=====

5.
NaZrVO5: optimized geometry, GGA+U.

Structure (CIF):
```
data_NaZrVO5
_cell_length_a 7.552
_cell_length_b 9.112
_cell_length_c 7.746
_cell_angle_alpha 90.00
_cell_angle_beta 115.41
_cell_angle_gamma 90.00
_symmetry_space_group_name_H-M 'C 1 2/c 1'
_symmetry_Int_Tables_number 15
loop_
_symmetry_equiv_pos_as_xyz
'x,y,z'
'-x,-y,-z'
'-x,y,-z+1/2'
'x,-y,z+1/2'
'x+1/2,y+1/2,z'
'-x+1/2,-y+1/2,-z'
'-x+1/2,y+1/2,-z+1/2'
'x+1/2,-y+1/2,z+1/2'
loop_
_atom_site_label
_atom_site_fract_x
_atom_site_fract_y
_atom_site_fract_z
Na1 0.000 0.181 0.250
Zr1 0.000 0.500 0.000
V1 0.000 0.165 0.750
O1 0.000 0.430 0.250
O2 0.066 0.276 0.603
O3 0.191 0.048 0.887
```

Crystal system: monoclinic
Density: 3.4 g/cm3
Size of the total moment: 0.00 Bohr magnetons per cell
Total DFT energy (no corrections): -0.5677 Ry per atom

=====

6.
Na3W4O6: optimized geometry, GGA+U.

Structure (CIF):
```
data_Na3W4O6
_cell_length_a 7.352
_cell_length_b 7.872
_cell_length_c 7.841
_cell_angle_alpha 90.00
_cell_angle_beta 90.00
_cell_angle_gamma 90.00
_symmetry_space_group_name_H-M 'I m m 2'
_symmetry_Int_Tables_number 44
loop_
_symmetry_equiv_pos_as_xyz
'x,y,z'
'-x,-y,z'
'-x,y,z'
'x,-y,z'
'x+1/2,y+1/2,z+1/2'
'-x+1/2,-y+1/2,z+1/2'
'-x+1/2,y+1/2,z+1/2'
'x+1/2,-y+1/2,z+1/2'
loop_
_atom_site_label
_atom_site_fract_x
_atom_site_fract_y
_atom_site_fract_z
Na1 0.000 0.000 0.000
Na2 0.000 0.000 0.436
Na3 0.000 0.500 0.015
W1 0.221 0.250 0.723
O1 0.000 0.238 0.196
O2 0.212 0.000 0.704
O3 0.212 0.500 0.747
```

Crystal system: orthorhombic
Density: 6.6 g/cm3
Energy relative to the lowest polymorph listed for this composition: 5.0 meV/atom
Size of the total moment: 20.75 Bohr magnetons per cell
Total DFT energy (no corrections): -0.4224 Ry per atom